Material: KGaMo3
Method: DFT, GGA-PBE
State: optimized geometry

The structure in CIF format:
```
data_KGaMo3
_chemical_formula_sum 'K1 Ga1 Mo3'
_symmetry_space_group_name_H-M 'P m -3 m'
_symmetry_Int_Tables_number 221
_symmetry_space_group_name_Hall '-P 4 2 3'
_cell_length_a 4.814
_cell_length_b 4.814
_cell_length_c 4.814
_cell_angle_alpha 90.00
_cell_angle_beta 90.00
_cell_angle_gamma 90.00
loop_
_atom_site_label
_atom_site_type_symbol
_atom_site_fract_x
_atom_site_fract_y
_atom_site_fract_z
K1 K 0.000 0.000 0.000
Ga1 Ga 0.500 0.500 0.500
Mo1 Mo 0.000 0.500 0.500
```

## Properties
- M_tot: 0.0 μB per cell
- ΔH_f (0 K): 1.8930 eV/atom
- ΔE to the lowest computed polymorph: 0 kJ/mol of formula units